# 1
Compound: SrLiMg2Tl5
Source: Alexandria via LeMat-Bulk
Functional: PBE
Structure: relaxed

It has space group Immm (No. 71), with a = 5.087 Å, b = 6.924 Å, c = 15.128 Å, α = 90.00°, β = 90.00° and γ = 90.00°. The distinct sites, in fractional coordinates, are Sr at (0.000, 0.000, 0.000), Li at (0.000, 0.000, 0.500), Mg at (0.000, 0.500, 0.190), Tl at (0.000, 0.257, 0.353) and Tl at (0.000, 0.500, 0.000).

***

# 2
Compound: SrLi2MgTl2
Source: Alexandria via LeMat-Bulk
Functional: PBE
Structure: relaxed

It has space group P-3m1 (No. 164), with a = 4.8549 Å, b = 4.8549 Å, c = 7.5420 Å, α = 90.00°, β = 90.00° and γ = 120.00°. The distinct sites, in fractional coordinates, are Sr at (0.0000, 0.0000, 0.0000), Li at (0.3333, 0.6667, 0.6684), Mg at (0.0000, 0.0000, 0.5000) and Tl at (0.3333, 0.6667, 0.2817).

***

| no. | energy (eV per atom) |
| --- | --- |
| 1 | -2.1152 |
| 2 | -2.2285 |